#one
VASP calculation (PBE) on a geometry-optimized Tb2Nd5Sm structure.

Output
N(E_F)	1.426	states/eV/atom

Cell and atoms, written as CIF:
```
data_Tb2Nd5Sm
_chemical_formula_sum 'Tb4 Nd10 Sm2'
_space_group_name_H-M_alt 'P 1'
_space_group_IT_number 1
_space_group_name_Hall 'P 1'
_cell_length_a 7.242
_cell_length_b 14.865
_cell_length_c 10.171
_cell_angle_alpha 90.00
_cell_angle_beta 90.00
_cell_angle_gamma 148.28
loop_
_atom_site_label
_atom_site_type_symbol
_atom_site_fract_x
_atom_site_fract_y
_atom_site_fract_z
Sm1 Sm 0.993 0.280 0.250
Sm2 Sm 0.007 0.720 0.750
Nd1 Nd 0.250 0.998 0.470
Nd2 Nd 0.365 0.638 0.094
Nd3 Nd 0.250 0.998 0.030
Nd4 Nd 0.478 0.277 0.250
Nd5 Nd 0.635 0.362 0.906
Nd6 Nd 0.750 0.002 0.530
Nd7 Nd 0.522 0.723 0.750
Nd8 Nd 0.635 0.362 0.594
Nd9 Nd 0.365 0.638 0.406
Nd10 Nd 0.750 0.002 0.970
Tb1 Tb 0.137 0.365 0.909
Tb2 Tb 0.137 0.365 0.591
Tb3 Tb 0.863 0.635 0.409
Tb4 Tb 0.863 0.635 0.091
```


#two
VASP calculation (PBE) on a geometry-optimized Tb2Nd5Sm structure.

Output
N(E_F)	1.508	states/eV/atom

Cell and atoms, written as CIF:
```
data_Tb2Nd5Sm
_chemical_formula_sum 'Tb4 Nd10 Sm2'
_space_group_name_H-M_alt 'P 1'
_space_group_IT_number 1
_space_group_name_Hall 'P 1'
_cell_length_a 5.154
_cell_length_b 7.284
_cell_length_c 14.571
_cell_angle_alpha 90.00
_cell_angle_beta 90.00
_cell_angle_gamma 90.00
loop_
_atom_site_label
_atom_site_type_symbol
_atom_site_fract_x
_atom_site_fract_y
_atom_site_fract_z
Nd1 Nd 0.500 0.251 0.875
Nd2 Nd 0.000 0.500 0.750
Nd3 Nd 0.500 0.749 0.125
Nd4 Nd 0.500 0.751 0.625
Nd5 Nd 0.000 0.500 0.500
Nd6 Nd 0.000 0.000 0.750
Nd7 Nd 0.500 0.249 0.375
Nd8 Nd 0.000 0.000 0.250
Nd9 Nd 0.000 0.000 0.000
Nd10 Nd 0.000 0.500 0.250
Tb1 Tb 0.500 0.750 0.875
Tb2 Tb 0.500 0.750 0.375
Tb3 Tb 0.500 0.250 0.125
Tb4 Tb 0.500 0.250 0.625
Sm1 Sm 0.000 0.500 0.000
Sm2 Sm 0.000 0.000 0.500
```


#two comes first in stability; the runner-up is 211 meV per atom higher.


#one
VASP calculation (PBE) on a geometry-optimized Tb5Nd12Sm2 structure.

Output
N(E_F)	1.417	states/eV/atom

Cell and atoms, written as CIF:
```
data_Tb5Nd12Sm2
_chemical_formula_sum 'Tb5 Nd12 Sm2'
_space_group_name_H-M_alt 'P 1'
_space_group_IT_number 1
_space_group_name_Hall 'P 1'
_cell_length_a 11.794
_cell_length_b 10.799
_cell_length_c 6.268
_cell_angle_alpha 100.58
_cell_angle_beta 90.00
_cell_angle_gamma 123.10
loop_
_atom_site_label
_atom_site_type_symbol
_atom_site_fract_x
_atom_site_fract_y
_atom_site_fract_z
Nd1 Nd 0.060 0.604 0.800
Nd2 Nd 0.940 0.396 0.200
Nd3 Nd 0.646 0.793 0.384
Nd4 Nd 0.556 0.111 0.274
Nd5 Nd 0.456 0.396 0.200
Nd6 Nd 0.444 0.889 0.726
Nd7 Nd 0.878 0.757 0.003
Nd8 Nd 0.122 0.243 0.997
Nd9 Nd 0.544 0.604 0.800
Nd10 Nd 0.354 0.207 0.616
Nd11 Nd 0.147 0.793 0.384
Nd12 Nd 0.853 0.207 0.616
Tb1 Tb 0.786 0.571 0.450
Tb2 Tb 0.677 0.355 0.858
Tb3 Tb 0.000 0.000 0.500
Tb4 Tb 0.214 0.429 0.550
Tb5 Tb 0.323 0.645 0.142
Sm1 Sm 0.228 0.000 0.000
Sm2 Sm 0.772 0.000 0.000
```


#two
VASP calculation (PBE) on a geometry-optimized Tb5Nd12Sm2 structure.

Output
N(E_F)	1.382	states/eV/atom

Cell and atoms, written as CIF:
```
data_Tb5Nd12Sm2
_chemical_formula_sum 'Tb5 Nd12 Sm2'
_space_group_name_H-M_alt 'P 1'
_space_group_IT_number 1
_space_group_name_Hall 'P 1'
_cell_length_a 10.336
_cell_length_b 9.492
_cell_length_c 8.050
_cell_angle_alpha 88.62
_cell_angle_beta 90.00
_cell_angle_gamma 122.99
loop_
_atom_site_label
_atom_site_type_symbol
_atom_site_fract_x
_atom_site_fract_y
_atom_site_fract_z
Nd1 Nd 0.151 0.303 0.881
Nd2 Nd 0.420 0.381 0.207
Nd3 Nd 0.380 0.212 0.611
Nd4 Nd 0.961 0.381 0.207
Nd5 Nd 0.849 0.697 0.119
Nd6 Nd 0.039 0.619 0.793
Nd7 Nd 0.552 0.104 0.289
Nd8 Nd 0.620 0.788 0.389
Nd9 Nd 0.832 0.212 0.611
Nd10 Nd 0.448 0.896 0.711
Nd11 Nd 0.168 0.788 0.389
Nd12 Nd 0.580 0.619 0.793
Tb1 Tb 0.246 0.491 0.512
Tb2 Tb 0.754 0.509 0.488
Tb3 Tb 0.650 0.300 0.915
Tb4 Tb 0.350 0.700 0.085
Tb5 Tb 0.000 0.000 0.500
Sm1 Sm 0.760 0.000 0.000
Sm2 Sm 0.240 0.000 0.000
```


#one comes first in stability; the runner-up is 29 meV per atom higher.


#one
VASP calculation (PBE) on a geometry-optimized Tb5NdSm2 structure.

Output
N(E_F)	1.355	states/eV/atom

Cell and atoms, written as CIF:
```
data_Tb5NdSm2
_chemical_formula_sum 'Tb10 Nd2 Sm4'
_space_group_name_H-M_alt 'P 1'
_space_group_IT_number 1
_space_group_name_Hall 'P 1'
_cell_length_a 5.072
_cell_length_b 7.191
_cell_length_c 14.386
_cell_angle_alpha 90.00
_cell_angle_beta 90.00
_cell_angle_gamma 90.00
loop_
_atom_site_label
_atom_site_type_symbol
_atom_site_fract_x
_atom_site_fract_y
_atom_site_fract_z
Sm1 Sm 0.500 0.251 0.626
Sm2 Sm 0.500 0.749 0.374
Sm3 Sm 0.500 0.751 0.874
Sm4 Sm 0.500 0.249 0.126
Tb1 Tb 0.000 0.000 0.249
Tb2 Tb 0.500 0.250 0.374
Tb3 Tb 0.500 0.750 0.126
Tb4 Tb 0.000 0.500 0.749
Tb5 Tb 0.000 0.500 0.251
Tb6 Tb 0.500 0.250 0.874
Tb7 Tb 0.000 0.500 0.500
Tb8 Tb 0.000 0.000 0.751
Tb9 Tb 0.500 0.750 0.626
Tb10 Tb 0.000 0.000 0.000
Nd1 Nd 0.000 0.000 0.500
Nd2 Nd 0.000 0.500 0.000
```


#two
VASP calculation (PBE) on a geometry-optimized Tb5NdSm2 structure.

Output
N(E_F)	1.725	states/eV/atom

Cell and atoms, written as CIF:
```
data_Tb5NdSm2
_chemical_formula_sum 'Tb10 Nd2 Sm4'
_space_group_name_H-M_alt 'P 1'
_space_group_IT_number 1
_space_group_name_Hall 'P 1'
_cell_length_a 6.822
_cell_length_b 13.643
_cell_length_c 9.289
_cell_angle_alpha 108.37
_cell_angle_beta 42.85
_cell_angle_gamma 115.46
loop_
_atom_site_label
_atom_site_type_symbol
_atom_site_fract_x
_atom_site_fract_y
_atom_site_fract_z
Sm1 Sm 0.039 0.564 0.335
Sm2 Sm 0.710 0.563 0.166
Sm3 Sm 0.290 0.437 0.834
Sm4 Sm 0.961 0.436 0.665
Nd1 Nd 0.790 0.690 0.834
Nd2 Nd 0.210 0.310 0.166
Tb1 Tb 0.207 0.815 0.166
Tb2 Tb 0.543 0.815 0.333
Tb3 Tb 0.457 0.185 0.667
Tb4 Tb 0.042 0.062 0.334
Tb5 Tb 0.293 0.939 0.833
Tb6 Tb 0.459 0.690 0.665
Tb7 Tb 0.541 0.310 0.335
Tb8 Tb 0.793 0.185 0.834
Tb9 Tb 0.958 0.938 0.666
Tb10 Tb 0.707 0.061 0.167
```


#one comes first in stability; the runner-up is 5 meV per atom higher.


#one
VASP calculation (PBE) on a geometry-optimized TbNd5Sm5 structure.

Output
N(E_F)	1.469	states/eV/atom

Cell and atoms, written as CIF:
```
data_TbNd5Sm5
_chemical_formula_sum 'Tb1 Nd5 Sm5'
_space_group_name_H-M_alt 'P 1'
_space_group_IT_number 1
_space_group_name_Hall 'P 1'
_cell_length_a 7.025
_cell_length_b 8.801
_cell_length_c 9.763
_cell_angle_alpha 44.08
_cell_angle_beta 89.16
_cell_angle_gamma 105.10
loop_
_atom_site_label
_atom_site_type_symbol
_atom_site_fract_x
_atom_site_fract_y
_atom_site_fract_z
Sm1 Sm 0.687 0.957 0.679
Sm2 Sm 0.000 0.500 0.500
Sm3 Sm 0.313 0.043 0.321
Sm4 Sm 0.350 0.494 0.778
Sm5 Sm 0.650 0.506 0.222
Nd1 Nd 0.232 0.091 0.644
Nd2 Nd 0.500 0.000 0.000
Nd3 Nd 0.768 0.909 0.356
Nd4 Nd 0.853 0.508 0.854
Nd5 Nd 0.147 0.492 0.146
Tb1 Tb 0.000 0.000 0.000
```


#two
VASP calculation (PBE) on a geometry-optimized TbNd5Sm5 structure.

Output
N(E_F)	1.575	states/eV/atom

Cell and atoms, written as CIF:
```
data_TbNd5Sm5
_chemical_formula_sum 'Tb1 Nd5 Sm5'
_space_group_name_H-M_alt 'P 1'
_space_group_IT_number 1
_space_group_name_Hall 'P 1'
_cell_length_a 6.136
_cell_length_b 9.824
_cell_length_c 7.043
_cell_angle_alpha 106.97
_cell_angle_beta 90.00
_cell_angle_gamma 108.20
loop_
_atom_site_label
_atom_site_type_symbol
_atom_site_fract_x
_atom_site_fract_y
_atom_site_fract_z
Sm1 Sm 0.173 0.346 0.921
Sm2 Sm 0.823 0.646 0.586
Sm3 Sm 0.827 0.654 0.079
Sm4 Sm 0.177 0.354 0.414
Sm5 Sm 0.500 0.000 0.000
Nd1 Nd 0.374 0.747 0.347
Nd2 Nd 0.670 0.341 0.195
Nd3 Nd 0.626 0.253 0.653
Nd4 Nd 0.000 0.000 0.500
Nd5 Nd 0.330 0.659 0.805
Tb1 Tb 0.000 0.000 0.000
```


#one comes first in stability; the runner-up is 105 meV per atom higher.


#one
VASP calculation (PBE) on a geometry-optimized Tb5NdSm4 structure.

Output
N(E_F)	1.415	states/eV/atom

Cell and atoms, written as CIF:
```
data_Tb5NdSm4
_chemical_formula_sum 'Tb5 Nd1 Sm4'
_space_group_name_H-M_alt 'P 1'
_space_group_IT_number 1
_space_group_name_Hall 'P 1'
_cell_length_a 6.044
_cell_length_b 8.089
_cell_length_c 8.089
_cell_angle_alpha 81.98
_cell_angle_beta 68.06
_cell_angle_gamma 68.06
loop_
_atom_site_label
_atom_site_type_symbol
_atom_site_fract_x
_atom_site_fract_y
_atom_site_fract_z
Tb1 Tb 0.131 0.000 0.621
Tb2 Tb 0.753 0.000 0.379
Tb3 Tb 0.681 0.000 0.000
Tb4 Tb 0.131 0.621 0.000
Tb5 Tb 0.753 0.379 0.000
Nd1 Nd 0.210 0.000 0.000
Sm1 Sm 0.137 0.326 0.326
Sm2 Sm 0.789 0.674 0.674
Sm3 Sm 0.463 0.674 0.326
Sm4 Sm 0.463 0.326 0.674
```


#two
VASP calculation (PBE) on a geometry-optimized Tb5NdSm4 structure.

Output
N(E_F)	1.400	states/eV/atom

Cell and atoms, written as CIF:
```
data_Tb5NdSm4
_chemical_formula_sum 'Tb5 Nd1 Sm4'
_space_group_name_H-M_alt 'P 1'
_space_group_IT_number 1
_space_group_name_Hall 'P 1'
_cell_length_a 3.561
_cell_length_b 11.149
_cell_length_c 8.850
_cell_angle_alpha 90.10
_cell_angle_beta 101.67
_cell_angle_gamma 90.06
loop_
_atom_site_label
_atom_site_type_symbol
_atom_site_fract_x
_atom_site_fract_y
_atom_site_fract_z
Tb1 Tb 0.174 0.945 0.349
Tb2 Tb 0.174 0.551 0.347
Tb3 Tb 0.826 0.055 0.651
Tb4 Tb 0.500 0.500 0.000
Tb5 Tb 0.826 0.449 0.653
Sm1 Sm 0.971 0.252 0.942
Sm2 Sm 0.655 0.250 0.307
Sm3 Sm 0.345 0.750 0.693
Sm4 Sm 0.029 0.748 0.058
Nd1 Nd 0.500 0.000 0.000
```


#two comes first in stability; the runner-up is 67 meV per atom higher.